A relaxed Th4OsRuSe2 crystal, computed with GGA-PBE.

Formation energy from raw total energies   -1.044 eV/atom
Density of states at the Fermi level   2.45 states/eV per cell
DFT total energy   -8.188 eV/atom

Lattice parameters (Å, degrees): 7.117 4.106 7.747 90.00 107.89 90.00
Space group P2/m (No. 10)
Symmetry-distinct sites (fractional):
Th (0.237, 0.000, 0.213) x2
Th (0.263, 0.500, 0.787) x2
Os (0.000, 0.500, 0.000) x1
Ru (0.500, 0.000, 0.000) x1
Se (0.000, 0.000, 0.500) x1
Se (0.500, 0.500, 0.500) x1

A relaxed RbTlCl3 crystal, computed with GGA-PBE.

Formation energy from raw total energies   -1.222 eV/atom
Density of states at the Fermi level   2.03 states/eV per cell
DFT total energy   -2.997 eV/atom

Lattice parameters (Å, degrees): 9.830 7.410 11.176 90.00 124.64 90.00
Space group P2_1/c (No. 14)
Symmetry-distinct sites (fractional):
Rb (0.186, 0.250, 0.093) x4
Tl (0.263, 0.745, 0.381) x4
Cl (0.002, 0.502, 0.751) x4
Cl (0.246, 0.749, 0.623) x4
Cl (0.407, 0.246, 0.954) x4

A relaxed Na2PuMgCl6 crystal, computed with GGA-PBE.

Formation energy from raw total energies   -1.754 eV/atom
Density of states at the Fermi level   54.01 states/eV per cell
DFT total energy   -4.718 eV/atom

Lattice parameters (Å, degrees): 6.9660 6.9660 18.6761 90.00 90.00 120.00
Space group R3 (No. 146, hexagonal axes)
Symmetry-distinct sites (fractional):
Na (0.0000, 0.0000, 0.0000) x3
Na (0.0000, 0.0000, 0.4928) x3
Pu (0.0000, 0.0000, 0.2017) x3
Mg (0.0000, 0.0000, 0.6959) x3
Cl (0.0066, 0.3756, 0.4334) x9
Cl (0.0503, 0.6752, 0.2751) x9

A relaxed NaSc2Cr crystal, computed with GGA-PBE.

Formation energy   462.5 meV per atom
Energy above the most stable polymorph in this dataset   37 meV/atom
Density of states at the Fermi level   14.59 states/eV per cell
DFT total energy   -5.439 eV/atom

Lattice parameters (Å, degrees): 7.040 7.040 7.040 90.00 90.00 90.00
Space group Fm-3m (No. 225)
Symmetry-distinct sites (fractional):
Na (0.000, 0.000, 0.000) x4
Sc (0.250, 0.250, 0.250) x8
Cr (0.000, 0.000, 0.500) x4

A relaxed PrAl2Zn crystal, computed with GGA-PBE.

Formation energy   -281.3 meV per atom
Density of states at the Fermi level   2.75 states/eV per cell
DFT total energy   -3.666 eV/atom

Lattice parameters (Å, degrees): 4.396 4.396 4.407 90.00 90.00 90.00
Space group P4/mmm (No. 123)
Symmetry-distinct sites (fractional):
Pr (0.000, 0.000, 0.000) x1
Al (0.000, 0.500, 0.500) x2
Zn (0.500, 0.500, 0.000) x1

A relaxed Th2Zn5Pt5 crystal, computed with GGA-PBE.

Formation energy   -770.3 meV per atom
Density of states at the Fermi level   5.16 states/eV per cell
DFT total energy   -5.055 eV/atom

Lattice parameters (Å, degrees): 4.430 5.289 9.335 90.00 90.00 90.00
Space group Pmmm (No. 47)
Symmetry-distinct sites (fractional):
Th (0.000, 0.000, 0.000) x1
Th (0.000, 0.500, 0.500) x1
Zn (0.500, 0.000, 0.500) x1
Zn (0.500, 0.251, 0.249) x4
Pt (0.000, 0.000, 0.333) x2
Pt (0.000, 0.500, 0.178) x2
Pt (0.500, 0.500, 0.000) x1